## La2CdPb (PBEsol)

Data for crystalline La2CdPb at its relaxed geometry.

energy relative to the elements	-0.4810	eV per atom
total energy	-4.453	eV per atom
total magnetization	0.00	μB/cell

Lattice parameters (Å, degrees): 3.5839 4.4179 7.3995 90.00 90.00 90.00
Element x y z (fractional)
Cd 0.5000 0.5000 0.0000
Pb 0.5000 0.5000 0.5000
La 0.0000 0.0000 0.2487
La 0.0000 0.0000 0.7513

***

## CuSiHg2 (PBEsol)

Data for crystalline CuSiHg2 at its relaxed geometry.

total energy	-2.438	eV per atom
total magnetization	0.00	μB/cell

Lattice parameters (Å, degrees): 2.8990 4.6039 5.6502 90.00 101.99 90.00
Element x y z (fractional)
Hg 0.8728 0.0000 0.2343
Hg 0.1272 0.0000 0.7657
Cu 0.0000 0.5000 0.0000
Si 0.0000 0.5000 0.5000